Material: LiNiBr4
Method: DFT, PBE
State: optimized geometry

Output
As for the symmetry: No. 10. As for the density of states at the Fermi level: 1.22 states/eV per cell. Its raw formation energy is -376 kJ/mol of formula units.

Cell: 6.4839 3.7332 6.6409 Å, 90.00 90.65 90.00°
With the nearest neighbours (Å) after each atom.
Sites, in units of the cell vectors:
1 Li 0.0000 0.0000 0.0000  6 Br 2.66-2.68
2 Ni 0.5000 0.5000 0.0000  6 Br 2.39-2.54
3 Br 0.1993 0.5000 0.7879  1 Ni 2.39
4 Br 0.3504 0.0000 0.2119  2 Ni 2.54, 1 Li 2.66
5 Br 0.6496 0.0000 0.7881  2 Ni 2.54, 1 Li 2.66
6 Br 0.8007 0.5000 0.2121  1 Ni 2.39